## Dy2LuMg (PBE)

Data for an optimized crystal structure of Dy2LuMg.

Values from the calculation:
Total DFT energy (no corrections): -0.2794 Ry per atom
Formation energy from the elements: 0.03 eV/atom
Excess energy over the best structure of this formula in the dataset: 0.19 eV/f.u.
Symmetry: No. 225

abc: 7.7131 7.7131 7.7131
angles: 90.00 90.00 90.00
Sites, in units of the cell vectors:
Dy: 0.2500 0.2500 0.2500
Dy: 0.2500 0.2500 0.7500
Dy: 0.2500 0.7500 0.2500
Dy: 0.2500 0.7500 0.7500
Dy: 0.7500 0.2500 0.2500
Dy: 0.7500 0.2500 0.7500
Dy: 0.7500 0.7500 0.2500
Dy: 0.7500 0.7500 0.7500
Lu: 0.0000 0.0000 0.0000
Lu: 0.0000 0.5000 0.5000
Lu: 0.5000 0.0000 0.5000
Lu: 0.5000 0.5000 0.0000
Mg: 0.0000 0.0000 0.5000
Mg: 0.0000 0.5000 0.0000
Mg: 0.5000 0.0000 0.0000
Mg: 0.5000 0.5000 0.5000


## NbBiOF2 (PBE)

Data for an optimized crystal structure of NbBiOF2.

Values from the calculation:
Total DFT energy (no corrections): -0.4414 Ry per atom
E_form (uncorrected): -1.48 eV/atom
Excess energy over the best structure of this formula in the dataset: 0.00 eV/f.u.
Symmetry: No. 123

abc: 4.5000 4.5000 3.9319
angles: 90.00 90.00 90.00
Sites, in units of the cell vectors:
Nb: 0.0000 0.0000 0.0000
Bi: 0.5000 0.5000 0.5000
O: 0.0000 0.0000 0.5000
F: 0.0000 0.5000 0.0000
F: 0.5000 0.0000 0.0000